Here is an optimized crystal structure of AcFe2SbO6 from Alexandria via LeMat-Bulk. Energies are from GGA+U. Values from VASP.

Geometry as Quantum ESPRESSO input:
```
&SYSTEM
  ibrav = 0, nat = 10, ntyp = 4
/
ATOMIC_SPECIES
Ac 227.00 Ac.upf
Fe 55.84 Fe.upf
Sb 121.76 Sb.upf
O 16.00 O.upf
ATOMIC_POSITIONS angstrom
Ac 8.398 4.906 3.103
Fe 5.624 3.227 2.146
Fe 2.830 1.646 4.800
Sb 2.791 1.619 0.215
O 4.568 1.585 1.180
O 4.630 4.924 1.161
O 7.462 3.181 1.198
O 6.109 4.723 3.883
O 6.630 2.092 3.885
O 4.136 2.969 3.811
CELL_PARAMETERS angstrom
5.579 0.008 0.032
2.796 4.850 0.037
2.819 1.641 4.998
```

E: -6.847 eV per atom